[1]
The following is a GGA-PBE calculation of a geometry-optimized ZrV2MoAs structure, from Alexandria.

```
ZrV2MoAs
1.0
-3.207 2.846 -1.516
-2.390 -0.408 4.288
2.351 3.527 1.646
V Zr Mo As
2 1 1 1
direct
0.000 0.000 0.500
0.500 0.000 0.000
0.000 0.000 0.000
0.500 0.500 0.500
0.000 0.500 0.000
```

Space-group type: P4/mmm (123)
Calculated volume: 101.85 Å³ per cell
ΔH_f (0 K): 1.7596 eV/atom
DOS at the Fermi energy: 9.85 states/eV/f.u.
Density: 5.9 g cm⁻³
DFT total energy: -0.4920 Ry/atom



[2]
The following is a GGA-PBE calculation of a geometry-optimized SmEuSb structure, from Alexandria.

```
SmEuSb
1.0
-3.285 2.530 -0.330
-1.005 -0.788 3.958
5.157 3.247 -0.229
Sb Sm Eu
1 1 1
direct
0.274 0.274 0.548
0.637 0.637 0.275
0.939 0.939 0.877
```

Space-group type: I4mm (107)
Calculated volume: 92.43 Å³ per cell
DOS at the Fermi energy: 3.88 states/eV/f.u.
ΔE_f (raw): -0.67 eV/atom
Density: 7.6 g cm⁻³
DFT total energy: -0.5174 Ry/atom



[3]
The following is a GGA-PBE calculation of a geometry-optimized Bi2BCN structure, from Alexandria.

```
Bi2BCN
1.0
5.265 0.000 0.000
0.000 3.042 0.000
0.000 0.000 5.265
Bi N B C
2 1 1 1
direct
0.000 0.000 0.500
0.500 0.000 0.000
0.000 0.500 0.000
0.500 0.500 0.500
0.000 0.000 0.000
```

Space-group type: P4/mmm (123)
Calculated volume: 84.32 Å³ per cell
DOS at the Fermi energy: 1.51 states/eV/f.u.
ΔE_f (raw): 1.77 eV/atom
Density: 9.0 g cm⁻³
DFT total energy: -0.3404 Ry/atom



[4]
The following is a GGA-PBE calculation of a geometry-optimized ScTcPH structure, from Alexandria.

```
ScTcPH
1.0
3.942 0.000 0.000
0.000 3.942 0.000
0.000 0.000 6.714
H P Tc Sc
2 2 2 2
direct
0.500 0.500 0.000
0.000 0.000 0.000
0.500 0.000 0.696
0.000 0.500 0.304
0.000 0.000 0.500
0.500 0.500 0.500
0.500 0.000 0.146
0.000 0.500 0.854
```

Space-group type: P4/nmm (129)
Calculated volume: 104.31 Å³ per cell
DOS at the Fermi energy: 2.86 states/eV/f.u.
Density: 5.6 g cm⁻³
DFT total energy: -0.5204 Ry/atom



[5]
The following is a GGA-PBE calculation of a geometry-optimized AcTbEu2 structure, from Alexandria.

```
AcTbEu2
1.0
4.277 0.000 0.000
0.000 6.071 0.000
0.000 0.000 6.071
Tb Ac Eu
1 1 2
direct
0.500 0.500 0.500
0.500 0.000 0.000
0.000 0.000 0.500
0.000 0.500 0.000
```

Space-group type: P4/mmm (123)
Calculated volume: 157.61 Å³ per cell
ΔH_f (0 K): 0.1320 eV/atom
DOS at the Fermi energy: 5.09 states/eV/f.u.
Density: 7.3 g cm⁻³
DFT total energy: -0.5284 Ry/atom



[6]
The following is a GGA-PBE calculation of a geometry-optimized RbInPb structure, from Alexandria.

```
RbInPb
1.0
7.427 0.053 0.025
-2.165 7.235 -0.058
0.953 1.784 4.638
Rb Pb In
2 2 2
direct
0.741 0.739 0.623
0.382 0.074 0.081
0.167 0.645 0.841
0.310 0.459 0.378
0.947 0.189 0.879
0.838 0.327 0.354
```

Space-group type: P1 (1)
Calculated volume: 250.25 Å³ per cell
ΔH_f (0 K): -0.1197 eV/atom
DOS at the Fermi energy: 0.00 states/eV/f.u.
Density: 5.4 g cm⁻³
DFT total energy: -0.1904 Ry/atom



[7]
The following is a GGA-PBE calculation of a geometry-optimized Sm15Y4Th structure, from Alexandria.

```
Sm15Y4Th
1.0
5.119 0.000 0.000
0.000 5.119 0.000
0.000 0.000 25.545
Sm Th Y
15 1 4
direct
0.000 0.500 0.700
0.500 0.500 0.600
0.500 0.500 0.202
0.500 0.500 0.798
0.500 0.000 0.700
0.500 0.500 0.000
0.000 0.500 0.099
0.500 0.500 0.400
0.500 0.000 0.500
0.500 0.000 0.300
0.000 0.500 0.300
0.000 0.500 0.500
0.500 0.000 0.099
0.000 0.500 0.901
0.500 0.000 0.901
0.000 0.000 0.000
0.000 0.000 0.200
0.000 0.000 0.800
0.000 0.000 0.400
0.000 0.000 0.600
```

Space-group type: P4/mmm (123)
Calculated volume: 669.42 Å³ per cell
ΔH_f (0 K): 0.0241 eV/atom
DOS at the Fermi energy: 28.87 states/eV/f.u.
Density: 7.1 g cm⁻³
DFT total energy: -0.3807 Ry/atom



[8]
The following is a GGA-PBE calculation of a geometry-optimized Rb4Pu3NpO8 structure, from Alexandria.

```
Rb4Pu3NpO8
1.0
7.199 0.000 0.000
0.000 7.766 0.375
-3.600 -3.584 5.102
Pu O Rb Np
3 8 4 1
direct
0.500 0.500 0.500
0.000 0.500 0.500
0.500 0.500 0.000
0.779 0.325 0.046
0.779 0.325 0.558
0.725 0.674 0.449
0.267 0.325 0.046
0.221 0.675 0.954
0.275 0.326 0.551
0.221 0.675 0.442
0.733 0.675 0.954
0.500 0.000 0.000
0.000 0.000 0.500
0.500 0.000 0.500
0.000 0.000 0.000
0.000 0.500 0.000
```

Space-group type: R-3m (166)
Calculated volume: 294.93 Å³ per cell
DOS at the Fermi energy: 23.48 states/eV/f.u.
ΔE_f (raw): -2.31 eV/atom
Density: 8.1 g cm⁻³
DFT total energy: -0.6265 Ry/atom